Computed, not measured: an optimized crystal structure of La3TiCd at the PBEsol level of DFT.

Values from the calculation:
VASP energy ... -4.75 eV/atom
Formation energy ... 172 kJ/mol of formula units
N(E_F) ... 1.469 states/eV/atom
Size of the total moment ... 0.00 μB per formula unit

Cell: 5.4265 5.4265 5.4265 Å, 90.00 90.00 90.00°
Last column: nearest neighbours and their distance in Å.
Element x y z (fractional)
Cd: 0.5000 0.5000 0.5000  12 La 3.84
La: 0.5000 0.0000 0.0000  2 Ti 2.71
Ti: 0.0000 0.0000 0.0000  6 La 2.71
La: 0.0000 0.5000 0.0000  2 Ti 2.71
La: 0.0000 0.0000 0.5000  2 Ti 2.71